Entry 1:
Density functional theory data (GGA-PBEsol) for an optimized crystal structure of TlInSe2.

POSCAR file:
```
TlInSe2
1.0
2.853 0.000 0.000
0.000 5.955 0.000
0.000 0.000 6.001
Tl In Se
1 1 2
direct
0.000 0.000 0.000 Tl
0.500 0.500 0.500 In
0.000 0.000 0.500 Se
0.500 0.500 0.000 Se
```

Computed properties:
- V (Å³/atom) = 25.5
- size of the total moment (μB/atom) = 0.000
- symmetry = Pmmm (47)
- formation energy from raw total energies (eV/atom) = -0.1449



Entry 2:
Density functional theory data (GGA-PBEsol) for an optimized crystal structure of Pr2SmS4.

POSCAR file:
```
Pr2SmS4
1.0
-4.217 4.217 4.253
4.217 -4.217 4.253
4.217 4.217 -4.253
Pr Sm S
4 2 8
direct
0.375 0.005 0.130 Pr
0.755 0.625 0.630 Pr
0.875 0.245 0.870 Pr
0.995 0.125 0.370 Pr
0.250 0.750 0.500 Sm
0.500 0.500 0.000 Sm
0.128 0.027 0.747 S
0.131 0.530 0.753 S
0.280 0.381 0.253 S
0.470 0.223 0.601 S
0.619 0.872 0.899 S
0.622 0.869 0.399 S
0.777 0.378 0.247 S
0.973 0.720 0.101 S
```

Computed properties:
- V (Å³/atom) = 21.6
- size of the total moment (μB/atom) = 0.000
- symmetry = I-42d (122)
- formation energy from raw total energies (eV/atom) = -2.1031



Entry 3:
Density functional theory data (GGA-PBEsol) for an optimized crystal structure of NaNiPO4.

POSCAR file:
```
NaNiPO4
1.0
10.038 0.000 0.000
0.000 6.075 0.000
0.000 0.000 4.917
Na Ni P O
4 4 4 16
direct
0.000 0.000 0.000 Na
0.000 0.500 0.000 Na
0.500 0.000 0.500 Na
0.500 0.500 0.500 Na
0.220 0.250 0.491 Ni
0.280 0.750 0.991 Ni
0.720 0.250 0.009 Ni
0.780 0.750 0.509 Ni
0.109 0.750 0.441 P
0.391 0.250 0.941 P
0.609 0.750 0.059 P
0.891 0.250 0.559 P
0.038 0.250 0.657 O
0.115 0.750 0.753 O
0.181 0.550 0.304 O
0.181 0.950 0.304 O
0.319 0.050 0.804 O
0.319 0.450 0.804 O
0.385 0.250 0.253 O
0.462 0.750 0.157 O
0.538 0.250 0.843 O
0.615 0.750 0.747 O
0.681 0.550 0.196 O
0.681 0.950 0.196 O
0.819 0.050 0.696 O
0.819 0.450 0.696 O
0.885 0.250 0.247 O
0.962 0.750 0.343 O
```

Computed properties:
- V (Å³/atom) = 10.7
- energy above the lowest structure with this stoichiometry (eV/atom) = 0.000
- size of the total moment (μB/atom) = 0.287
- symmetry = Pnma (62)
- formation energy from raw total energies (eV/atom) = -1.7554



Entry 4:
Density functional theory data (GGA-PBEsol) for an optimized crystal structure of Cr2MoAs.

POSCAR file:
```
Cr2MoAs
1.0
-1.539 1.977 4.185
1.539 -1.977 4.185
1.539 1.977 -4.185
Cr Mo As
2 1 1
direct
0.000 0.000 0.000 Cr
0.755 0.255 0.500 Cr
0.252 0.752 0.500 Mo
0.512 0.512 0.000 As
```

Computed properties:
- V (Å³/atom) = 12.7
- size of the total moment (μB/atom) = 0.000
- formation energy (kJ per mole of atoms) = 2.3
- symmetry = Imm2 (44)



Entry 5:
Density functional theory data (GGA-PBEsol) for an optimized crystal structure of Pr2SnS5.

POSCAR file:
```
Pr2SnS5
1.0
7.732 0.000 0.000
0.000 11.143 0.000
0.000 0.000 3.970
Pr Sn S
4 2 10
direct
0.072 0.169 0.000 Pr
0.428 0.669 0.000 Pr
0.572 0.331 0.000 Pr
0.928 0.831 0.000 Pr
0.000 0.500 0.500 Sn
0.500 0.000 0.500 Sn
0.000 0.000 0.500 S
0.146 0.705 0.500 S
0.193 0.430 0.000 S
0.307 0.930 0.000 S
0.354 0.205 0.500 S
0.500 0.500 0.500 S
0.646 0.795 0.500 S
0.693 0.070 0.000 S
0.807 0.570 0.000 S
0.854 0.295 0.500 S
```

Computed properties:
- V (Å³/atom) = 21.4
- size of the total moment (μB/atom) = 0.000
- symmetry = Pbam (55)
- formation energy from raw total energies (eV/atom) = -1.5085



Entry 6:
Density functional theory data (GGA-PBEsol) for an optimized crystal structure of LaZr2Cu.

POSCAR file:
```
LaZr2Cu
1.0
-1.674 2.530 5.137
1.674 -2.530 5.137
1.674 2.530 -5.137
La Zr Cu
1 2 1
direct
0.000 0.000 0.000 La
0.280 0.780 0.500 Zr
0.561 0.561 0.000 Zr
0.760 0.260 0.500 Cu
```

Computed properties:
- V (Å³/atom) = 21.8
- energy above the lowest structure with this stoichiometry (eV/atom) = 0.168
- size of the total moment (μB/atom) = 0.000
- formation energy (kJ per mole of atoms) = 15.1
- symmetry = Imm2 (44)



Entry 7:
Density functional theory data (GGA-PBEsol) for an optimized crystal structure of Ba3Au.

POSCAR file:
```
Ba3Au
1.0
8.407 0.000 0.000
0.000 11.283 0.000
0.000 0.000 7.431
Ba Au
12 4
direct
0.040 0.250 0.152 Ba
0.174 0.070 0.672 Ba
0.174 0.430 0.672 Ba
0.326 0.570 0.172 Ba
0.326 0.930 0.172 Ba
0.460 0.750 0.652 Ba
0.540 0.250 0.348 Ba
0.674 0.070 0.828 Ba
0.674 0.430 0.828 Ba
0.826 0.570 0.328 Ba
0.826 0.930 0.328 Ba
0.960 0.750 0.848 Ba
0.119 0.750 0.439 Au
0.381 0.250 0.939 Au
0.619 0.750 0.061 Au
0.881 0.250 0.561 Au
```

Computed properties:
- V (Å³/atom) = 44.1
- size of the total moment (μB/atom) = 0.000
- formation energy (kJ per mole of atoms) = -34.2
- symmetry = Pnma (62)



Entry 8:
Density functional theory data (GGA-PBEsol) for an optimized crystal structure of Zr2MoRh.

POSCAR file:
```
Zr2MoRh
1.0
2.937 0.000 0.000
0.000 4.665 0.000
-1.084 0.000 5.101
Zr Mo Rh
2 1 1
direct
0.000 0.000 0.000 Zr
0.276 0.500 0.714 Zr
0.761 0.500 0.216 Mo
0.539 0.000 0.490 Rh
```

Computed properties:
- V (Å³/atom) = 17.5
- size of the total moment (μB/atom) = 0.000
- formation energy (kJ per mole of atoms) = -16.7
- symmetry = Pm (6)



Entry 9:
Density functional theory data (GGA-PBEsol) for an optimized crystal structure of BaAlPt2.

POSCAR file:
```
BaAlPt2
1.0
-2.095 2.095 4.683
2.095 -2.095 4.683
2.095 2.095 -4.683
Ba Al Pt
1 1 2
direct
0.000 0.000 0.000 Ba
0.250 0.750 0.500 Al
0.500 0.500 0.000 Pt
0.750 0.250 0.500 Pt
```

Computed properties:
- V (Å³/atom) = 20.6
- size of the total moment (μB/atom) = 0.000
- formation energy (kJ per mole of atoms) = -7.8
- symmetry = I-4m2 (119)



Entry 10:
Density functional theory data (GGA-PBEsol) for an optimized crystal structure of LaBe2P.

POSCAR file:
```
LaBe2P
1.0
3.276 -1.882 0.000
3.276 1.882 0.000
-2.179 0.000 4.984
La Be P
1 2 1
direct
0.000 0.000 0.000 La
0.200 0.200 0.598 Be
0.800 0.800 0.402 Be
0.500 0.500 0.500 P
```

Computed properties:
- V (Å³/atom) = 15.4
- size of the total moment (μB/atom) = 0.000
- formation energy (kJ per mole of atoms) = -24.0
- symmetry = C2/m (12)



Question: What is the V in the tenth record?
Answer: 15.4 Å³/atom